# 1
# CuAuSe3S (GGA-PBE, optimized geometry)
# **Energy relative to the lowest polymorph listed for this composition**: 0.04 eV per formula unit
data_CuAuSe3S
_chemical_formula_sum 'Cu2 Au2 Se6 S2'
_space_group_name_H-M_alt 'P 1 21/m 1'
_space_group_IT_number 11
_cell_length_a 4.4325
_cell_length_b 7.3788
_cell_length_c 8.1355
_cell_angle_alpha 90.00
_cell_angle_beta 94.91
_cell_angle_gamma 90.00
loop_
_space_group_symop_operation_xyz
'x,y,z'
'-x,-y,-z'
'-x,y+1/2,-z'
'x,-y+1/2,z'
loop_
_atom_site_label
_atom_site_fract_x
_atom_site_fract_y
_atom_site_fract_z
Cu1 0.0248 0.2500 0.1506
Au1 0.5000 0.0000 0.5000
Se1 0.1431 0.7500 0.5710
Se2 0.3995 0.5039 0.1902
S1 0.0910 0.7500 0.1284



# 2
# CuAuSeS3 (GGA-PBE, optimized geometry)
# **Total energy**: -3.8458 eV per atom
data_CuAuSeS3
_chemical_formula_sum 'Cu2 Au2 Se2 S6'
_space_group_name_H-M_alt 'P 1 21/m 1'
_space_group_IT_number 11
_cell_length_a 4.4467
_cell_length_b 7.1277
_cell_length_c 7.8016
_cell_angle_alpha 90.00
_cell_angle_beta 93.15
_cell_angle_gamma 90.00
loop_
_space_group_symop_operation_xyz
'x,y,z'
'-x,-y,-z'
'-x,y+1/2,-z'
'x,-y+1/2,z'
loop_
_atom_site_label
_atom_site_fract_x
_atom_site_fract_y
_atom_site_fract_z
Cu1 0.0523 0.2500 0.1706
Au1 0.5000 0.0000 0.5000
Se1 0.0684 0.7500 0.1417
S1 0.1698 0.7500 0.5708
S2 0.3840 0.5042 0.1956